1.
Computed, not measured: a relaxed structure of ErTlCd2 at the PBE level of DFT.

Lattice parameters (Å, degrees): 4.4928 4.4928 4.8623 90.00 90.00 90.00
Element x y z (fractional)
Er 0.0000 0.0000 0.0000
Tl 0.5000 0.5000 0.0000
Cd 0.0000 0.5000 0.5000
Cd 0.5000 0.0000 0.5000

Calculated values
Density of states at the Fermi level, states/eV/atom: 0.727
Symmetry: No. 123
Energy, eV per cell: -9.68
Excess energy over the best structure of this formula in the dataset, meV per atom: 0
Energy relative to the elements, meV per atom: -229.8



2.
Computed, not measured: a relaxed structure of Er3Tl3Cd2 at the PBE level of DFT.

Lattice parameters (Å, degrees): 8.2940 8.2940 3.5637 90.00 90.00 120.00
Element x y z (fractional)
Er 0.0000 0.6291 0.0000
Er 0.3709 0.3709 0.0000
Er 0.6291 0.0000 0.0000
Tl 0.0000 0.2533 0.5000
Tl 0.2533 0.0000 0.5000
Tl 0.7467 0.7467 0.5000
Cd 0.3333 0.6667 0.5000
Cd 0.6667 0.3333 0.5000

Calculated values
Density of states at the Fermi level, states/eV/atom: 0.590
Symmetry: No. 189
Energy, eV per cell: -24.44
Excess energy over the best structure of this formula in the dataset, meV per atom: 0
Energy relative to the elements, meV per atom: -228.0



3.
Computed, not measured: a relaxed structure of Er3TlCd3 at the PBE level of DFT.

Lattice parameters (Å, degrees): 3.5368 4.8828 20.9041 90.00 90.00 90.00
Element x y z (fractional)
Er 0.0000 0.0000 0.0000
Er 0.0000 0.0000 0.4043
Er 0.0000 0.5000 0.2000
Er 0.5000 0.0000 0.7000
Er 0.5000 0.5000 0.5000
Er 0.5000 0.5000 0.9043
Tl 0.0000 0.5000 0.7691
Tl 0.5000 0.0000 0.2691
Cd 0.0000 0.0000 0.5564
Cd 0.0000 0.0000 0.8501
Cd 0.0000 0.5000 0.6297
Cd 0.5000 0.0000 0.1297
Cd 0.5000 0.5000 0.0564
Cd 0.5000 0.5000 0.3501

Calculated values
Density of states at the Fermi level, states/eV/atom: 0.718
Symmetry: No. 44
Energy, eV per cell: -41.14
Energy relative to the elements, meV per atom: -252.6



4.
Computed, not measured: a relaxed structure of ErTlCd17 at the PBE level of DFT.

Lattice parameters (Å, degrees): 7.7405 7.7405 7.7405 81.92 81.92 81.92
Element x y z (fractional)
Er 0.0000 0.0000 0.0000
Tl 0.6733 0.6733 0.6733
Cd 0.0250 0.3243 0.6303
Cd 0.0250 0.6303 0.3243
Cd 0.1139 0.7100 0.7100
Cd 0.2212 0.2212 0.2212
Cd 0.3243 0.0250 0.6303
Cd 0.3243 0.6303 0.0250
Cd 0.3482 0.3482 0.8014
Cd 0.3482 0.8014 0.3482
Cd 0.4156 0.4156 0.4156
Cd 0.4427 0.9825 0.9825
Cd 0.6303 0.0250 0.3243
Cd 0.6303 0.3243 0.0250
Cd 0.7100 0.1139 0.7100
Cd 0.7100 0.7100 0.1139
Cd 0.8014 0.3482 0.3482
Cd 0.9825 0.4427 0.9825
Cd 0.9825 0.9825 0.4427

Calculated values
Density of states at the Fermi level, states/eV/atom: 0.334
Symmetry: No. 160
Energy, eV per cell: -23.02
Energy relative to the elements, meV per atom: -28.0



5.
Computed, not measured: a relaxed structure of Er8TlCd2 at the PBE level of DFT.

Lattice parameters (Å, degrees): 8.5034 8.5034 8.4555 119.07 119.07 36.02
Element x y z (fractional)
Er 0.0668 0.0668 0.2195
Er 0.1401 0.1401 0.6864
Er 0.3175 0.3175 0.5494
Er 0.4063 0.4063 0.0430
Er 0.5937 0.5937 0.9570
Er 0.6825 0.6825 0.4506
Er 0.8599 0.8599 0.3136
Er 0.9332 0.9332 0.7805
Tl 0.5000 0.5000 0.5000
Cd 0.2239 0.2239 0.1135
Cd 0.7761 0.7761 0.8865

Calculated values
Density of states at the Fermi level, states/eV/atom: 0.964
Symmetry: No. 12
Energy, eV per cell: -42.58
Excess energy over the best structure of this formula in the dataset, meV per atom: 0
Energy relative to the elements, meV per atom: -170.6



6.
Computed, not measured: a relaxed structure of Er3TlCd at the PBE level of DFT.

Lattice parameters (Å, degrees): 10.9233 10.9233 5.0645 90.00 90.00 153.19
Element x y z (fractional)
Er 0.0564 0.9436 0.7500
Er 0.2499 0.7501 0.7500
Er 0.4418 0.5582 0.7500
Er 0.5582 0.4418 0.2500
Er 0.7501 0.2499 0.2500
Er 0.9436 0.0564 0.2500
Tl 0.3448 0.6552 0.2500
Tl 0.6552 0.3448 0.7500
Cd 0.1532 0.8468 0.2500
Cd 0.8468 0.1532 0.7500

Calculated values
Density of states at the Fermi level, states/eV/atom: 1.224
Symmetry: No. 63
Energy, eV per cell: -36.45
Excess energy over the best structure of this formula in the dataset, meV per atom: 0
Energy relative to the elements, meV per atom: -251.2



7.
Computed, not measured: a relaxed structure of Er5Tl2Cd2 at the PBE level of DFT.

Lattice parameters (Å, degrees): 9.0057 9.0057 7.8187 90.00 90.00 52.71
Element x y z (fractional)
Er 0.0000 0.0000 0.0000
Er 0.0459 0.6787 0.6723
Er 0.1787 0.5459 0.1723
Er 0.3213 0.9541 0.6723
Er 0.4541 0.8213 0.1723
Er 0.5000 0.5000 0.5000
Er 0.5459 0.1787 0.8277
Er 0.6787 0.0459 0.3277
Er 0.8213 0.4541 0.8277
Er 0.9541 0.3213 0.3277
Tl 0.1304 0.8696 0.3700
Tl 0.3696 0.6304 0.8700
Tl 0.6304 0.3696 0.1300
Tl 0.8696 0.1304 0.6300
Cd 0.2122 0.2122 0.0000
Cd 0.2878 0.2878 0.5000
Cd 0.7122 0.7122 0.5000
Cd 0.7878 0.7878 0.0000

Calculated values
Density of states at the Fermi level, states/eV/atom: 0.717
Symmetry: No. 64
Energy, eV per cell: -62.86
Energy relative to the elements, meV per atom: -227.9



8.
Computed, not measured: a relaxed structure of ErTl2Cd at the PBE level of DFT.

Lattice parameters (Å, degrees): 4.7384 4.7384 4.5403 90.00 90.00 90.00
Element x y z (fractional)
Er 0.0000 0.0000 0.0000
Tl 0.0000 0.5000 0.5000
Tl 0.5000 0.0000 0.5000
Cd 0.5000 0.5000 0.0000

Calculated values
Density of states at the Fermi level, states/eV/atom: 0.647
Symmetry: No. 123
Energy, eV per cell: -11.05
Excess energy over the best structure of this formula in the dataset, meV per atom: 0
Energy relative to the elements, meV per atom: -209.1



9.
Computed, not measured: a relaxed structure of ErTl2Cd at the PBE level of DFT.

Lattice parameters (Å, degrees): 4.3724 4.3724 21.0067 90.00 90.00 120.00
Element x y z (fractional)
Er 0.0000 0.0000 0.0000
Er 0.3333 0.6667 0.6667
Er 0.6667 0.3333 0.3333
Tl 0.0000 0.0000 0.4209
Tl 0.0000 0.0000 0.5754
Tl 0.3333 0.6667 0.0876
Tl 0.3333 0.6667 0.2420
Tl 0.6667 0.3333 0.7543
Tl 0.6667 0.3333 0.9087
Cd 0.0000 0.0000 0.8308
Cd 0.3333 0.6667 0.4975
Cd 0.6667 0.3333 0.1642

Calculated values
Density of states at the Fermi level, states/eV/atom: 0.649
Symmetry: No. 160
Energy, eV per cell: -30.20
Excess energy over the best structure of this formula in the dataset, meV per atom: 245
Energy relative to the elements, meV per atom: 35.7



10.
Computed, not measured: a relaxed structure of ErTl2Cd at the PBE level of DFT.

Lattice parameters (Å, degrees): 7.4733 7.4733 7.4733 90.00 90.00 90.00
Element x y z (fractional)
Er 0.0000 0.0000 0.0000
Er 0.0000 0.5000 0.5000
Er 0.5000 0.0000 0.5000
Er 0.5000 0.5000 0.0000
Tl 0.2500 0.2500 0.2500
Tl 0.2500 0.2500 0.7500
Tl 0.2500 0.7500 0.2500
Tl 0.2500 0.7500 0.7500
Tl 0.7500 0.2500 0.2500
Tl 0.7500 0.2500 0.7500
Tl 0.7500 0.7500 0.2500
Tl 0.7500 0.7500 0.7500
Cd 0.0000 0.0000 0.5000
Cd 0.0000 0.5000 0.0000
Cd 0.5000 0.0000 0.0000
Cd 0.5000 0.5000 0.5000

Calculated values
Density of states at the Fermi level, states/eV/atom: 0.726
Symmetry: No. 225
Energy, eV per cell: -42.35
Excess energy over the best structure of this formula in the dataset, meV per atom: 115
Energy relative to the elements, meV per atom: -94.4



11.
Computed, not measured: a relaxed structure of ErTlCd4 at the PBE level of DFT.

Lattice parameters (Å, degrees): 5.9610 5.9610 5.9610 60.00 60.00 60.00
Element x y z (fractional)
Er 0.0000 0.0000 0.0000
Tl 0.7500 0.7500 0.7500
Cd 0.3746 0.3746 0.3746
Cd 0.3746 0.3746 0.8762
Cd 0.3746 0.8762 0.3746
Cd 0.8762 0.3746 0.3746

Calculated values
Density of states at the Fermi level, states/eV/atom: 0.557
Symmetry: No. 216
Energy, eV per cell: -11.01
Excess energy over the best structure of this formula in the dataset, meV per atom: 44
Energy relative to the elements, meV per atom: -70.6



12.
Computed, not measured: a relaxed structure of ErTl2Cd at the PBE level of DFT.

Lattice parameters (Å, degrees): 3.4705 3.4705 33.9700 90.00 90.00 120.00
Element x y z (fractional)
Er 0.0000 0.0000 0.0000
Er 0.3333 0.6667 0.6667
Er 0.6667 0.3333 0.3333
Tl 0.0000 0.0000 0.0915
Tl 0.0000 0.0000 0.9085
Tl 0.3333 0.6667 0.5751
Tl 0.3333 0.6667 0.7582
Tl 0.6667 0.3333 0.2418
Tl 0.6667 0.3333 0.4249
Cd 0.0000 0.0000 0.5000
Cd 0.3333 0.6667 0.1667
Cd 0.6667 0.3333 0.8333

Calculated values
Density of states at the Fermi level, states/eV/atom: 0.770
Symmetry: No. 166
Energy, eV per cell: -29.26
Excess energy over the best structure of this formula in the dataset, meV per atom: 323
Energy relative to the elements, meV per atom: 114.1



Q: The highest energy relative to the elements belongs to which entry?
A: number 12